Density functional theory data (GGA-PBE) for a relaxed Pr2PuCl crystal.

Lattice parameters (Å, degrees): 3.688 3.688 10.409 79.80 79.80 60.00
Sites, in units of the cell vectors:
Pr: 0.741 0.741 0.776
Pr: 0.259 0.259 0.224
Cl: 0.000 0.000 0.000
Pu: 0.500 0.500 0.500

Values from the calculation:
E_form (uncorrected)   -0.587 eV/atom
Fermi-level density of states   7.35 states/eV/f.u.
Energy above the most stable polymorph in this dataset   0 meV/atom